[1]
{"formula": "NaLiTaNi2", "functional": "PBE", "state": "optimized geometry", "vol_a3_per_cell": 87.4, "delta_e_f_ev_per_atom": 1.96, "mass_density_g_cm3": 6.24, "lattice_angstrom": [[4.295, 0.000, 0.000], [0.000, 4.295, 0.000], [0.000, 0.000, 4.735]], "species": ["Na", "Li", "Ta", "Ni", "Ni"], "frac_coords": [[0.000, 0.000, 0.000], [0.500, 0.500, 0.500], [0.000, 0.000, 0.500], [0.000, 0.500, 0.000], [0.500, 0.000, 0.000]]}

***

[2]
{"formula": "Na2LiTcNi", "functional": "PBE", "state": "optimized geometry", "vol_a3_per_cell": 90.8, "delta_e_f_ev_per_atom": 1.20, "mass_density_g_cm3": 3.84, "lattice_angstrom": [[4.499, 0.000, 0.000], [0.000, 4.499, 0.000], [0.000, 0.000, 4.484]], "species": ["Na", "Na", "Li", "Tc", "Ni"], "frac_coords": [[0.000, 0.500, 0.000], [0.500, 0.000, 0.000], [0.000, 0.000, 0.000], [0.500, 0.500, 0.500], [0.000, 0.000, 0.500]]}

***

[3]
{"formula": "NaLiTiNi2", "functional": "PBE", "state": "optimized geometry", "vol_a3_per_cell": 97.6, "delta_e_f_ev_per_atom": 1.49, "mass_density_g_cm3": 3.32, "lattice_angstrom": [[4.524, 0.000, 0.000], [0.000, 4.524, 0.000], [0.000, 0.000, 4.770]], "species": ["Na", "Li", "Ti", "Ni", "Ni"], "frac_coords": [[0.000, 0.000, 0.000], [0.500, 0.500, 0.500], [0.000, 0.000, 0.500], [0.000, 0.500, 0.000], [0.500, 0.000, 0.000]]}

***

[4]
{"formula": "NaLiTlNi", "functional": "PBE", "state": "optimized geometry", "vol_a3_per_cell": 71.6, "delta_e_f_ev_per_atom": 0.08, "mass_density_g_cm3": 6.79, "lattice_angstrom": [[0.000, 3.296, 3.296], [3.296, 0.000, 3.296], [3.296, 3.296, 0.000]], "species": ["Na", "Li", "Tl", "Ni"], "frac_coords": [[0.000, 0.000, 0.000], [0.250, 0.250, 0.250], [0.500, 0.500, 0.500], [0.750, 0.750, 0.750]]}

***

[5]
{"formula": "NaLiTl2Ni", "functional": "PBE", "state": "optimized geometry", "vol_a3_per_cell": 124.8, "delta_e_f_ev_per_atom": 0.01, "mass_density_g_cm3": 6.62, "lattice_angstrom": [[5.047, 0.000, 0.000], [0.000, 5.047, 0.000], [0.000, 0.000, 4.900]], "species": ["Na", "Li", "Tl", "Tl", "Ni"], "frac_coords": [[0.000, 0.000, 0.000], [0.500, 0.500, 0.000], [0.000, 0.500, 0.500], [0.500, 0.000, 0.500], [0.500, 0.500, 0.500]]}

***

[6]
{"formula": "NaLi2NiW", "functional": "PBE", "state": "optimized geometry", "vol_a3_per_cell": 100.2, "delta_e_f_ev_per_atom": 0.85, "mass_density_g_cm3": 4.63, "lattice_angstrom": [[4.711, 0.000, 0.000], [0.000, 4.711, 0.000], [0.000, 0.000, 4.517]], "species": ["Na", "Li", "Li", "Ni", "W"], "frac_coords": [[0.000, 0.000, 0.000], [0.000, 0.500, 0.500], [0.500, 0.000, 0.500], [0.500, 0.500, 0.500], [0.500, 0.500, 0.000]]}

***

[7]
{"formula": "Na2LiZrNi", "functional": "PBE", "state": "optimized geometry", "vol_a3_per_cell": 104.8, "delta_e_f_ev_per_atom": 1.01, "mass_density_g_cm3": 3.21, "lattice_angstrom": [[4.337, 0.000, 0.000], [0.000, 4.337, 0.000], [0.000, 0.000, 5.573]], "species": ["Na", "Na", "Li", "Zr", "Ni"], "frac_coords": [[0.000, 0.500, 0.000], [0.500, 0.000, 0.000], [0.000, 0.000, 0.000], [0.000, 0.000, 0.500], [0.500, 0.500, 0.500]]}

***

[8]
{"formula": "NaLiNp2O8", "functional": "PBE", "state": "optimized geometry", "raw_formation_energy_ev_per_atom": -2.22, "vol_a3_per_cell": 140.8, "mass_density_g_cm3": 7.45, "lattice_angstrom": [[-2.618, 2.618, 5.133], [2.618, -2.618, 5.133], [2.618, 2.618, -5.133]], "species": ["Na", "Li", "Np", "Np", "O", "O", "O", "O", "O", "O", "O", "O"], "frac_coords": [[0.000, 0.000, 0.000], [0.750, 0.250, 0.500], [0.250, 0.750, 0.500], [0.500, 0.500, 0.000], [0.126, 0.601, 0.022], [0.176, 0.148, 0.536], [0.360, 0.824, 0.971], [0.399, 0.421, 0.525], [0.579, 0.103, 0.978], [0.612, 0.640, 0.464], [0.852, 0.388, 0.029], [0.897, 0.874, 0.475]]}

***

[9]
{"formula": "Na3Li2NpO6", "functional": "PBE", "state": "optimized geometry", "raw_formation_energy_ev_per_atom": -2.18, "vol_a3_per_cell": 142.0, "mass_density_g_cm3": 4.86, "lattice_angstrom": [[2.745, -4.767, 0.000], [2.745, 4.767, 0.000], [-1.801, 0.000, 5.426]], "species": ["Na", "Na", "Na", "Li", "Li", "Np", "O", "O", "O", "O", "O", "O"], "frac_coords": [[0.000, 0.000, 0.000], [0.320, 0.680, 0.000], [0.680, 0.320, 0.000], [0.168, 0.832, 0.500], [0.832, 0.168, 0.500], [0.500, 0.500, 0.500], [0.122, 0.429, 0.288], [0.267, 0.267, 0.711], [0.429, 0.122, 0.288], [0.571, 0.878, 0.712], [0.733, 0.733, 0.289], [0.878, 0.571, 0.712]]}

***

[10]
{"formula": "Na3LiNp3O8", "functional": "PBE", "state": "optimized geometry", "raw_formation_energy_ev_per_atom": -2.40, "vol_a3_per_cell": 222.5, "mass_density_g_cm3": 6.83, "lattice_angstrom": [[3.397, 1.961, 5.564], [-3.397, 1.961, 5.564], [0.000, -3.923, 5.564]], "species": ["Na", "Na", "Na", "Li", "Np", "Np", "Np", "O", "O", "O", "O", "O", "O", "O", "O"], "frac_coords": [[0.000, 0.500, 0.500], [0.500, 0.000, 0.500], [0.500, 0.500, 0.000], [0.500, 0.500, 0.500], [0.000, 0.000, 0.500], [0.000, 0.500, 0.000], [0.500, 0.000, 0.000], [0.219, 0.738, 0.738], [0.242, 0.242, 0.242], [0.262, 0.262, 0.781], [0.262, 0.781, 0.262], [0.738, 0.219, 0.738], [0.738, 0.738, 0.219], [0.758, 0.758, 0.758], [0.781, 0.262, 0.262]]}

***

[11]
{"formula": "Na3LiNp2O6", "functional": "PBE", "state": "optimized geometry", "raw_formation_energy_ev_per_atom": -2.34, "vol_a3_per_cell": 165.0, "mass_density_g_cm3": 6.50, "lattice_angstrom": [[2.928, -5.065, 0.000], [2.928, 5.065, 0.000], [-1.942, 0.000, 5.562]], "species": ["Na", "Na", "Na", "Li", "Np", "Np", "O", "O", "O", "O", "O", "O"], "frac_coords": [[0.000, 0.000, 0.000], [0.344, 0.656, 0.000], [0.656, 0.344, 0.000], [0.500, 0.500, 0.500], [0.167, 0.833, 0.500], [0.833, 0.167, 0.500], [0.077, 0.428, 0.285], [0.221, 0.221, 0.717], [0.428, 0.077, 0.285], [0.572, 0.923, 0.715], [0.779, 0.779, 0.283], [0.923, 0.572, 0.715]]}

***

[12]
{"formula": "NaLiNpO3", "functional": "PBE", "state": "optimized geometry", "raw_formation_energy_ev_per_atom": -2.34, "vol_a3_per_cell": 167.2, "mass_density_g_cm3": 6.25, "lattice_angstrom": [[5.892, 0.000, 0.000], [0.000, 3.500, 0.000], [-1.285, 0.000, 8.108]], "species": ["Na", "Na", "Li", "Li", "Np", "Np", "O", "O", "O", "O", "O", "O"], "frac_coords": [[0.116, 0.250, 0.188], [0.884, 0.750, 0.812], [0.170, 0.750, 0.536], [0.830, 0.250, 0.464], [0.382, 0.250, 0.820], [0.618, 0.750, 0.180], [0.063, 0.250, 0.662], [0.282, 0.750, 0.990], [0.486, 0.750, 0.689], [0.514, 0.250, 0.311], [0.718, 0.250, 0.010], [0.937, 0.750, 0.338]]}

***

[13]
{"formula": "NaLi2Np2O6", "functional": "PBE", "state": "optimized geometry", "raw_formation_energy_ev_per_atom": -2.13, "vol_a3_per_cell": 203.7, "mass_density_g_cm3": 4.95, "lattice_angstrom": [[2.997, 1.730, 6.547], [-2.997, 1.730, 6.547], [0.000, -3.461, 6.547]], "species": ["Na", "Li", "Li", "Np", "Np", "O", "O", "O", "O", "O", "O"], "frac_coords": [[0.000, 0.000, 0.000], [0.423, 0.423, 0.423], [0.577, 0.577, 0.577], [0.157, 0.157, 0.157], [0.843, 0.843, 0.843], [0.209, 0.746, 0.746], [0.254, 0.254, 0.791], [0.254, 0.791, 0.254], [0.746, 0.209, 0.746], [0.746, 0.746, 0.209], [0.791, 0.254, 0.254]]}

***

[14]
{"formula": "NaLiNpO5", "functional": "PBE", "state": "optimized geometry", "raw_formation_energy_ev_per_atom": -2.10, "vol_a3_per_cell": 237.9, "mass_density_g_cm3": 4.84, "lattice_angstrom": [[3.453, -4.693, 0.000], [3.453, 4.693, 0.000], [-3.309, 0.000, 7.342]], "species": ["Na", "Na", "Li", "Li", "Np", "Np", "O", "O", "O", "O", "O", "O", "O", "O", "O", "O"], "frac_coords": [[0.085, 0.915, 0.750], [0.915, 0.085, 0.250], [0.443, 0.557, 0.750], [0.557, 0.443, 0.250], [0.000, 0.500, 0.000], [0.500, 0.000, 0.500], [0.170, 0.830, 0.250], [0.192, 0.325, 0.109], [0.264, 0.658, 0.916], [0.325, 0.192, 0.609], [0.342, 0.736, 0.584], [0.658, 0.264, 0.416], [0.675, 0.808, 0.391], [0.736, 0.342, 0.084], [0.808, 0.675, 0.891], [0.830, 0.170, 0.750]]}

***

[15]
{"formula": "NaLi2Np2O7", "functional": "PBE", "state": "optimized geometry", "raw_formation_energy_ev_per_atom": -2.56, "vol_a3_per_cell": 163.2, "mass_density_g_cm3": 6.34, "lattice_angstrom": [[-2.118, 9.091, 2.118], [2.118, -9.091, 2.118], [2.118, 9.091, -2.118]], "species": ["Na", "Li", "Li", "Np", "Np", "O", "O", "O", "O", "O", "O", "O"], "frac_coords": [[0.000, 0.000, 0.000], [0.243, 0.493, 0.750], [0.743, 0.493, 0.250], [0.378, 0.994, 0.384], [0.610, 0.994, 0.616], [0.108, 0.494, 0.614], [0.268, 0.994, 0.274], [0.379, 0.493, 0.886], [0.492, 0.992, 0.500], [0.607, 0.493, 0.114], [0.720, 0.994, 0.726], [0.880, 0.494, 0.386]]}

***

[16]
{"formula": "NaLi3Np2S6", "functional": "PBE", "state": "optimized geometry", "raw_formation_energy_ev_per_atom": -1.30, "vol_a3_per_cell": 244.3, "mass_density_g_cm3": 4.83, "lattice_angstrom": [[8.186, -1.966, 0.000], [8.186, 1.966, 0.000], [-1.552, 0.000, 7.589]], "species": ["Na", "Li", "Li", "Li", "Np", "Np", "S", "S", "S", "S", "S", "S"], "frac_coords": [[0.000, 0.000, 0.000], [0.000, 0.000, 0.500], [0.340, 0.340, 0.168], [0.660, 0.660, 0.832], [0.339, 0.339, 0.676], [0.661, 0.661, 0.324], [0.170, 0.170, 0.572], [0.175, 0.175, 0.096], [0.498, 0.498, 0.732], [0.502, 0.502, 0.268], [0.825, 0.825, 0.904], [0.830, 0.830, 0.428]]}

***

[17]
{"formula": "Na2Li2NpS4", "functional": "PBE", "state": "optimized geometry", "raw_formation_energy_ev_per_atom": -1.26, "vol_a3_per_cell": 192.1, "mass_density_g_cm3": 3.68, "lattice_angstrom": [[7.345, -1.995, 0.000], [7.345, 1.995, 0.000], [-3.494, 0.000, 6.554]], "species": ["Na", "Na", "Li", "Li", "Np", "S", "S", "S", "S"], "frac_coords": [[0.152, 0.152, 0.042], [0.848, 0.848, 0.958], [0.320, 0.320, 0.522], [0.680, 0.680, 0.478], [0.000, 0.000, 0.500], [0.209, 0.209, 0.687], [0.496, 0.496, 0.253], [0.504, 0.504, 0.747], [0.791, 0.791, 0.313]]}

***

[18]
{"formula": "NaLiNp2S4", "functional": "PBE", "state": "optimized geometry", "raw_formation_energy_ev_per_atom": -1.34, "vol_a3_per_cell": 359.8, "mass_density_g_cm3": 5.84, "lattice_angstrom": [[1.999, -6.492, 0.000], [1.999, 6.492, 0.000], [0.000, 0.000, 13.860]], "species": ["Na", "Na", "Li", "Li", "Np", "Np", "Np", "Np", "S", "S", "S", "S", "S", "S", "S", "S"], "frac_coords": [[0.106, 0.894, 0.750], [0.894, 0.106, 0.250], [0.161, 0.839, 0.250], [0.839, 0.161, 0.750], [0.368, 0.632, 0.561], [0.368, 0.632, 0.939], [0.632, 0.368, 0.061], [0.632, 0.368, 0.439], [0.000, 0.000, 0.000], [0.000, 0.000, 0.500], [0.267, 0.733, 0.111], [0.267, 0.733, 0.389], [0.438, 0.562, 0.750], [0.562, 0.438, 0.250], [0.733, 0.267, 0.611], [0.733, 0.267, 0.889]]}

***

[19]
{"formula": "Na3LiNp2S6", "functional": "PBE", "state": "optimized geometry", "raw_formation_energy_ev_per_atom": -1.33, "vol_a3_per_cell": 267.5, "mass_density_g_cm3": 4.61, "lattice_angstrom": [[3.423, -5.927, 0.000], [3.423, 5.927, 0.000], [-2.281, 0.000, 6.594]], "species": ["Na", "Na", "Na", "Li", "Np", "Np", "S", "S", "S", "S", "S", "S"], "frac_coords": [[0.000, 0.000, 0.000], [0.338, 0.662, 0.000], [0.662, 0.338, 0.000], [0.500, 0.500, 0.500], [0.167, 0.833, 0.500], [0.833, 0.167, 0.500], [0.081, 0.426, 0.277], [0.230, 0.230, 0.723], [0.426, 0.081, 0.277], [0.574, 0.919, 0.723], [0.770, 0.770, 0.277], [0.919, 0.574, 0.723]]}

***

[20]
{"formula": "NaLi2Np3S6", "functional": "PBE", "state": "optimized geometry", "raw_formation_energy_ev_per_atom": -1.36, "vol_a3_per_cell": 257.6, "mass_density_g_cm3": 6.06, "lattice_angstrom": [[8.518, -1.982, 0.000], [8.518, 1.982, 0.000], [-1.594, 0.000, 7.629]], "species": ["Na", "Li", "Li", "Np", "Np", "Np", "S", "S", "S", "S", "S", "S"], "frac_coords": [[0.000, 0.000, 0.000], [0.331, 0.331, 0.663], [0.669, 0.669, 0.337], [0.000, 0.000, 0.500], [0.333, 0.333, 0.169], [0.667, 0.667, 0.831], [0.166, 0.166, 0.583], [0.170, 0.170, 0.080], [0.499, 0.499, 0.260], [0.501, 0.501, 0.740], [0.830, 0.830, 0.920], [0.834, 0.834, 0.417]]}